A plane-wave DFT calculation with GGA-PBE was carried out for an optimized crystal structure of SmZrAlIr2.

abc: 4.1639 4.1639 11.8114
angles: 90.00 90.00 90.00
Positions (direct):
Sm: 0.0000 0.0000 0.0000
Sm: 0.5000 0.5000 0.5000
Zr: 0.0000 0.5000 0.7500
Zr: 0.5000 0.0000 0.2500
Al: 0.0000 0.5000 0.2500
Al: 0.5000 0.0000 0.7500
Ir: 0.0000 0.0000 0.3891
Ir: 0.0000 0.0000 0.6109
Ir: 0.5000 0.5000 0.1109
Ir: 0.5000 0.5000 0.8891

Output
For the mass density, the calculation gives 10.59 Mg/m³. The magnetic moment comes out at 0.00 Bohr magnetons per cell. The calculation puts the energy of formation at -4.1 eV/f.u. The volume is 20.5 Å³ per atom.

A plane-wave DFT calculation with GGA-PBE was carried out for an optimized crystal structure of GdLuAu.

abc: 6.9979 6.9979 6.9979
angles: 90.00 90.00 90.00
Positions (direct):
Gd: 0.0000 0.0000 0.0000
Gd: 0.0000 0.5000 0.5000
Gd: 0.5000 0.0000 0.5000
Gd: 0.5000 0.5000 0.0000
Lu: 0.0000 0.0000 0.5000
Lu: 0.0000 0.5000 0.0000
Lu: 0.5000 0.0000 0.0000
Lu: 0.5000 0.5000 0.5000
Au: 0.2500 0.2500 0.7500
Au: 0.2500 0.7500 0.2500
Au: 0.7500 0.2500 0.2500
Au: 0.7500 0.7500 0.7500

Output
For the mass density, the calculation gives 10.26 Mg/m³. Its excess energy over the best structure of this formula in the dataset is 0.31 eV per formula unit. The magnetic moment comes out at 29.67 Bohr magnetons per cell. The calculation puts the energy of formation at -1.4 eV/f.u. The volume is 28.6 Å³ per atom.

A plane-wave DFT calculation with GGA-PBE was carried out for an optimized crystal structure of La5AlAg2.

abc: 8.9590 8.9590 8.9590
angles: 123.24 123.24 84.47
Positions (direct):
La: 0.0000 0.0000 0.0000
La: 0.0088 0.5088 0.8260
La: 0.1828 0.0088 0.5000
La: 0.3172 0.8172 0.8260
La: 0.4912 0.3172 0.5000
La: 0.5000 0.5000 0.0000
La: 0.5088 0.6828 0.5000
La: 0.6828 0.1828 0.1740
La: 0.8172 0.9912 0.5000
La: 0.9912 0.4912 0.1740
Al: 0.2500 0.2500 0.0000
Al: 0.7500 0.7500 0.0000
Ag: 0.1268 0.3732 0.5000
Ag: 0.3732 0.8732 0.2463
Ag: 0.6268 0.1268 0.7537
Ag: 0.8732 0.6268 0.5000

Output
For the mass density, the calculation gives 6.47 Mg/m³. The magnetic moment comes out at 0.00 Bohr magnetons per cell. The calculation puts the energy of formation at -1.6 eV/f.u. The volume is 30.1 Å³ per atom.

A plane-wave DFT calculation with GGA-PBE was carried out for an optimized crystal structure of La12MgIn4N3.

abc: 9.1659 9.1659 9.1659
angles: 109.47 109.47 109.47
Positions (direct):
La: 0.0000 0.2794 0.2794
La: 0.0000 0.7206 0.7206
La: 0.2500 0.5000 0.7500
La: 0.2500 0.7500 0.5000
La: 0.2794 0.0000 0.2794
La: 0.2794 0.2794 0.0000
La: 0.5000 0.2500 0.7500
La: 0.5000 0.7500 0.2500
La: 0.7206 0.0000 0.7206
La: 0.7206 0.7206 0.0000
La: 0.7500 0.2500 0.5000
La: 0.7500 0.5000 0.2500
Mg: 0.0000 0.0000 0.0000
In: 0.0000 0.0000 0.5000
In: 0.0000 0.5000 0.0000
In: 0.5000 0.0000 0.0000
In: 0.5000 0.5000 0.5000
N: 0.0000 0.5000 0.5000
N: 0.5000 0.0000 0.5000
N: 0.5000 0.5000 0.0000

Output
For the mass density, the calculation gives 6.14 Mg/m³. The magnetic moment comes out at 0.00 Bohr magnetons per cell. The calculation puts the raw formation energy at -0.55 eV/atom. The volume is 29.6 Å³ per atom.

A plane-wave DFT calculation with GGA-PBE was carried out for an optimized crystal structure of BeZn2HO.

abc: 5.5038 5.5038 2.8190
angles: 90.00 90.00 90.00
Positions (direct):
Be: 0.0000 0.0000 0.0000
Zn: 0.0000 0.5000 0.0000
Zn: 0.5000 0.0000 0.0000
H: 0.5000 0.5000 0.5000
O: 0.0000 0.0000 0.5000

Output
For the mass density, the calculation gives 3.05 Mg/m³. The magnetic moment comes out at 0.29 Bohr magnetons per cell. The calculation puts the raw total energy at -14.89 eV per formula unit. The volume is 17.1 Å³ per atom.

A plane-wave DFT calculation with GGA-PBE was carried out for an optimized crystal structure of LaTaAu2.

abc: 3.4555 4.7825 5.4955
angles: 90.00 99.25 90.00
Positions (direct):
La: 0.0000 0.0000 0.0000
Ta: 0.7521 0.5000 0.3980
Au: 0.4428 0.0000 0.5007
Au: 0.4469 0.5000 0.8437

Output
For the mass density, the calculation gives 13.22 Mg/m³. Its excess energy over the best structure of this formula in the dataset is 0.38 eV per formula unit. The magnetic moment comes out at 0.00 Bohr magnetons per cell. The calculation puts the energy of formation at -0.4 eV/f.u. The volume is 22.4 Å³ per atom.

A plane-wave DFT calculation with GGA-PBE was carried out for an optimized crystal structure of Nb2CuBPb.

abc: 5.2665 5.2665 4.6392
angles: 90.00 90.00 90.00
Positions (direct):
Nb: 0.0000 0.5000 0.0000
Nb: 0.5000 0.0000 0.0000
Cu: 0.0000 0.0000 0.5000
B: 0.5000 0.5000 0.5000
Pb: 0.0000 0.0000 0.0000

Output
For the mass density, the calculation gives 6.03 Mg/m³. The magnetic moment comes out at 2.59 Bohr magnetons per cell. The calculation puts the energy of formation at 12.8 eV/f.u. The volume is 25.7 Å³ per atom.

A plane-wave DFT calculation with GGA-PBE was carried out for an optimized crystal structure of BeZnPO2.

abc: 3.6599 3.6599 5.1593
angles: 90.00 90.00 90.00
Positions (direct):
Be: 0.0000 0.0000 0.0000
Zn: 0.5000 0.5000 0.5000
P: 0.5000 0.5000 0.0000
O: 0.0000 0.5000 0.5000
O: 0.5000 0.0000 0.5000

Output
For the mass density, the calculation gives 3.30 Mg/m³. Its excess energy over the best structure of this formula in the dataset is 3.47 eV per formula unit. The magnetic moment comes out at 0.00 Bohr magnetons per cell. The calculation puts the raw formation energy at 0.42 eV/atom. The volume is 13.8 Å³ per atom.